Entry 1:
## Li2MgPO4 (PBE)

Data for a relaxed structure of Li2MgPO4.

CIF file:
```
data_Li2MgPO4
_cell_length_a 5.503
_cell_length_b 5.503
_cell_length_c 5.503
_cell_angle_alpha 72.39
_cell_angle_beta 130.64
_cell_angle_gamma 130.64
_space_group_name_H-M_alt 'P 1'
_space_group_IT_number 1
loop_
_space_group_symop_operation_xyz
'x,y,z'
loop_
_atom_site_label
_atom_site_fract_x
_atom_site_fract_y
_atom_site_fract_z
_atom_site_occupancy
Li1 0.000 0.000 0.000 1
Mg1 0.500 0.250 0.750 1
P1 0.000 0.500 0.500 1
O1 0.398 0.805 0.800 1
O2 0.995 0.593 0.195 1
O3 0.602 0.402 0.407 1
Li2 0.500 0.750 0.250 1
O4 0.005 0.200 0.598 1
```

Values from the calculation:
- Fermi-level density of states (states/eV per cell) = 1.29
- formation energy (no corrections) (eV/atom) = -2.06
- total DFT energy (no corrections) (eV/atom) = -5.8885

***

Entry 2:
## SrRe2C (PBE)

Data for a relaxed structure of SrRe2C.

CIF file:
```
data_SrRe2C
_cell_length_a 6.281
_cell_length_b 6.281
_cell_length_c 6.203
_cell_angle_alpha 59.59
_cell_angle_beta 59.59
_cell_angle_gamma 90.00
_space_group_name_H-M_alt 'P 1'
_space_group_IT_number 1
loop_
_space_group_symop_operation_xyz
'x,y,z'
loop_
_atom_site_label
_atom_site_fract_x
_atom_site_fract_y
_atom_site_fract_z
_atom_site_occupancy
Sr1 0.000 0.000 0.000 1
Re1 0.405 0.625 0.250 1
C1 0.250 0.750 0.500 1
Re2 0.345 0.125 0.250 1
Sr2 0.750 0.250 0.500 1
C2 0.500 0.500 0.000 1
Re3 0.375 0.655 0.750 1
Re4 0.875 0.595 0.750 1
```

Values from the calculation:
- Fermi-level density of states (states/eV per cell) = 7.71
- total DFT energy (no corrections) (eV/atom) = -8.0054

***

Entry 3:
## ZnFeAs3 (PBE)

Data for a relaxed structure of ZnFeAs3.

CIF file:
```
data_ZnFeAs3
_cell_length_a 4.592
_cell_length_b 4.592
_cell_length_c 4.592
_cell_angle_alpha 90.00
_cell_angle_beta 90.00
_cell_angle_gamma 90.00
_space_group_name_H-M_alt 'P 1'
_space_group_IT_number 1
loop_
_space_group_symop_operation_xyz
'x,y,z'
loop_
_atom_site_label
_atom_site_fract_x
_atom_site_fract_y
_atom_site_fract_z
_atom_site_occupancy
As1 0.000 0.000 0.500 1
Fe1 0.000 0.000 0.000 1
As2 0.000 0.500 0.000 1
Zn1 0.500 0.500 0.500 1
As3 0.500 0.000 0.000 1
```

Values from the calculation:
- Fermi-level density of states (states/eV per cell) = 4.58
- excess energy over the best structure of this formula in the dataset (eV/f.u.) = 0.000
- total DFT energy (no corrections) (eV/atom) = -4.2968

***

Entry 4:
## Zr5TaRu4 (PBE)

Data for a relaxed structure of Zr5TaRu4.

CIF file:
```
data_Zr5TaRu4
_cell_length_a 3.275
_cell_length_b 3.275
_cell_length_c 16.952
_cell_angle_alpha 90.00
_cell_angle_beta 90.00
_cell_angle_gamma 90.00
_space_group_name_H-M_alt 'P 1'
_space_group_IT_number 1
loop_
_space_group_symop_operation_xyz
'x,y,z'
loop_
_atom_site_label
_atom_site_fract_x
_atom_site_fract_y
_atom_site_fract_z
_atom_site_occupancy
Zr1 0.500 0.500 0.500 1
Ru1 0.000 0.000 0.403 1
Zr2 0.500 0.500 0.888 1
Ru2 0.000 0.000 0.790 1
Zr3 0.500 0.500 0.305 1
Ru3 0.000 0.000 0.210 1
Ta1 0.000 0.000 0.000 1
Zr4 0.500 0.500 0.695 1
Zr5 0.500 0.500 0.112 1
Ru4 0.000 0.000 0.597 1
```

Values from the calculation:
- Fermi-level density of states (states/eV per cell) = 5.88
- total DFT energy (no corrections) (eV/atom) = -9.6586

***

Look up the total DFT energy (no corrections) of the third one.
-4.2968 eV/atom

***

The highest total DFT energy (no corrections) belongs to which entry?
ZnFeAs3

***

Which of these has the lowest total DFT energy (no corrections)?
Zr5TaRu4